The following is a DFT calculation (PBE) of LiZr3Sc after structural relaxation.

The structure belongs to space group Pm-3m (No. 221); the cell edges are 5.1265, 5.1265 and 5.1265 Å and the angles 90.00°, 90.00° and 90.00°. The distinct sites, in fractional coordinates, are Li at (0.0000, 0.0000, 0.0000), Zr at (0.0000, 0.5000, 0.5000) and Sc at (0.5000, 0.5000, 0.5000).

The calculation puts the density of states at the Fermi level at 1.47 states/eV/atom. The calculation puts the electronic total energy at -28.33 eV/cell. For the calculated formation energy, the calculation gives 25.7 kcal/mol of atoms. For the spin magnetization, the calculation gives 0.00 μB/f.u.